# BaNaSrPd2

Crystalline BaNaSrPd2 at its relaxed geometry (PBEsol, Alexandria via LeMat-Bulk).

## Properties
Symmetry = P4/mmm, No. 123
DFT formation energy = 1.50 eV/f.u.
Spin magnetization = 0.000 μB/atom

abc: 5.0720 5.2439 5.2439
angles: 90.00 90.00 90.00
Last column: nearest neighbours and their distance in Å.
Fractional positions:
1 Sr 0.5000 0.0000 0.0000  2 Na 2.54
2 Ba 0.5000 0.5000 0.5000  8 Pd 3.65, 4 Sr 3.71
3 Pd 0.0000 0.0000 0.5000  2 Na 2.62
4 Pd 0.0000 0.5000 0.0000  2 Na 2.62
5 Na 0.0000 0.0000 0.0000  2 Sr 2.54, 4 Pd 2.62